Entry 1:
DFT (PBE) results for an optimized crystal structure of Hf2PAuN.

Calculated values
E_form (uncorrected)   0.92 eV/atom
Uncorrected energy   -6.466 eV/atom
Calculated volume   20.6 Å³ per atom

a b c (Å): 4.8190 4.4349 4.8190
angles (deg): 90.00 90.00 90.00
Last column: nearest neighbours and their distance in Å.
Fractional positions:
Au (0.0000, 0.5000, 0.0000)  2 P 2.22
N (0.5000, 0.5000, 0.5000)  8 Hf 3.27, 4 Au 3.41
Hf (0.5000, 0.0000, 0.0000)  2 P 2.41
Hf (0.0000, 0.0000, 0.5000)  2 P 2.41
P (0.0000, 0.0000, 0.0000)  2 Au 2.22, 4 Hf 2.41

=====

Entry 2:
DFT (PBE) results for an optimized crystal structure of K4BaLi.

Calculated values
Uncorrected energy   -1.157 eV/atom
Calculated volume   64.5 Å³ per atom
Calculated formation energy   0.21 eV per atom

a b c (Å): 8.1790 8.1790 8.1790
angles (deg): 60.00 60.00 60.00
Last column: nearest neighbours and their distance in Å.
Fractional positions:
K (0.6244, 0.1269, 0.6244)  6 K 4.07-4.11
K (0.6244, 0.6244, 0.6244)  6 K 4.07-4.11
K (0.1269, 0.6244, 0.6244)  6 K 4.07-4.11
K (0.6244, 0.6244, 0.1269)  6 K 4.07-4.11
Li (0.2500, 0.2500, 0.2500)  12 K 4.79, 4 Ba 5.01
Ba (0.0000, 0.0000, 0.0000)  12 K 4.80, 4 Li 5.01

=====

Number 1: total moment 0.0 μB per formula unit. Number 2: total moment 0.0 μB per formula unit.